# 1
First-principles (GGA-PBE) data for a relaxed LaZr2Tl crystal, as listed in Alexandria via LeMat-Bulk.

Geometry as extended XYZ:
```
8
Lattice="4.649 0.000 0.000 0.000 4.649 0.000 0.000 0.000 9.491" Properties=species:S:1:pos:R:3 pbc="T T T"
La 0.000 0.000 0.000
La 2.325 2.325 4.746
Zr 0.000 2.325 2.373
Zr 0.000 2.325 7.118
Zr 2.325 0.000 2.373
Zr 2.325 0.000 7.118
Tl 0.000 0.000 4.746
Tl 2.325 2.325 0.000
```

Computed properties:
Total magnetization (μB per formula unit): 0.000
Energy of formation (eV per atom): 0.0357
Energy above the lowest structure with this stoichiometry (eV/atom): 0.066
Space-group type: I4/mmm

***

# 2
First-principles (GGA-PBE) data for a relaxed ReWBr crystal, as listed in Alexandria via LeMat-Bulk.

Geometry as extended XYZ:
```
3
Lattice="3.394 0.000 0.000 -1.697 2.939 0.000 0.000 0.000 6.152" Properties=species:S:1:pos:R:3 pbc="T T T"
Re 0.000 0.000 0.000
W 0.000 1.960 1.444
Br 1.697 0.980 3.720
```

Computed properties:
Total magnetization (μB per formula unit): 0.000
Energy above the lowest structure with this stoichiometry (eV/atom): 0.000
Space-group type: P3m1
Formation energy from raw total energies (eV per atom): 0.5946

***

# 3
First-principles (GGA-PBE) data for a relaxed CaZnOF2 crystal, as listed in Alexandria via LeMat-Bulk.

Geometry as extended XYZ:
```
5
Lattice="4.211 0.000 0.000 0.000 4.211 0.000 0.000 0.000 7.748" Properties=species:S:1:pos:R:3 pbc="T T T"
Ca 0.000 0.000 0.000
Zn 0.000 0.000 3.874
O 2.106 2.106 3.874
F 0.000 2.106 0.000
F 2.106 0.000 0.000
```

Computed properties:
Total magnetization (μB per formula unit): 1.758
Energy above the lowest structure with this stoichiometry (eV/atom): 0.940
Space-group type: P4/mmm
Formation energy from raw total energies (eV per atom): -1.5077

***

# 4
First-principles (GGA-PBE) data for a relaxed Zr2TeSe crystal, as listed in Alexandria via LeMat-Bulk.

Geometry as extended XYZ:
```
4
Lattice="3.652 0.000 0.000 0.000 5.366 0.000 0.000 0.000 4.672" Properties=species:S:1:pos:R:3 pbc="T T T"
Zr 0.000 0.000 0.000
Zr 1.826 2.683 1.313
Te 1.826 0.000 2.275
Se 0.000 2.683 3.909
```

Computed properties:
Total magnetization (μB per formula unit): 0.000
Energy above the lowest structure with this stoichiometry (eV/atom): 0.196
Space-group type: Pmm2
Formation energy from raw total energies (eV per atom): -0.8419